Below is a relaxed Al8CrGa2 crystal, with properties calculated at the PBE-GGA level.

Cell and atoms, written as POSCAR:
```
Al8CrGa2
1.0
7.013 -2.010 0.000
7.013 2.010 0.000
-1.446 0.000 6.249
Al Cr Ga
8 1 2
direct
0.040 0.040 0.228 Al
0.133 0.133 0.655 Al
0.324 0.324 0.607 Al
0.411 0.411 0.080 Al
0.589 0.589 0.920 Al
0.676 0.676 0.393 Al
0.867 0.867 0.345 Al
0.960 0.960 0.772 Al
0.500 0.500 0.500 Cr
0.216 0.216 0.115 Ga
0.784 0.784 0.885 Ga
```

Density of states at the Fermi level = 0.391 states/eV/atom
Space-group type = C2/m (12)
Total DFT energy (no corrections) = -4.1670 eV/atom
Magnetization = 0.148 μB per atom